(1)
Material: TlReW
Method: DFT, PBE
State: relaxed

* polymorph energy (0 for the lowest one): 0.000 eV per formula unit
* calculated formation energy: 0.66 eV/atom
* electronic total energy: -8.60 eV per atom

Lattice parameters (Å, degrees): 6.254 6.254 6.254 151.39 151.39 40.91
Positions (direct):
Tl 0.000 0.000 0.000
Re 0.312 0.312 0.000
W 0.692 0.692 0.000


(2)
Material: TeP2Pb
Method: DFT, PBE
State: relaxed

* formation energy without anion corrections: 93 kJ/mol of formula units
* polymorph energy (0 for the lowest one): 0.537 eV per formula unit
* electronic total energy: -4.18 eV per atom

Lattice parameters (Å, degrees): 7.146 7.146 7.146 33.03 33.03 33.03
Positions (direct):
Te 0.000 0.000 0.000
P 0.257 0.257 0.257
P 0.743 0.743 0.743
Pb 0.500 0.500 0.500


(3)
Material: Ac7Tb2Sm
Method: DFT, PBE
State: relaxed

* calculated formation energy: 0.62 eV/atom
* electronic total energy: -3.65 eV per atom

Lattice parameters (Å, degrees): 9.663 9.663 6.107 90.00 90.00 116.49
Positions (direct):
Ac 0.000 0.000 0.000
Ac 0.191 0.439 0.000
Ac 0.258 0.742 0.500
Ac 0.439 0.191 0.000
Ac 0.561 0.809 0.000
Ac 0.742 0.258 0.500
Ac 0.809 0.561 0.000
Tb 0.201 0.799 0.000
Tb 0.799 0.201 0.000
Sm 0.500 0.500 0.500


(4)
Material: MoRh2Br
Method: DFT, PBE
State: relaxed

* formation energy without anion corrections: 182 kJ/mol of formula units
* polymorph energy (0 for the lowest one): 1.208 eV per formula unit
* electronic total energy: -6.33 eV per atom

Lattice parameters (Å, degrees): 4.910 4.910 4.657 93.26 93.26 34.76
Positions (direct):
Mo 0.000 0.000 0.000
Rh 0.270 0.270 0.767
Rh 0.730 0.730 0.233
Br 0.500 0.500 0.500


(5)
Material: ZrRh2
Method: DFT, PBE
State: relaxed

* calculated formation energy: -0.22 eV/atom
* electronic total energy: -7.97 eV per atom

Lattice parameters (Å, degrees): 3.138 3.138 6.202 90.00 90.00 120.00
Positions (direct):
Zr 0.000 0.000 0.000
Rh 0.333 0.667 0.683
Rh 0.667 0.333 0.317


(6)
Material: MnTcP2S
Method: DFT, PBE
State: relaxed

* formation energy without anion corrections: 287 kJ/mol of formula units
* polymorph energy (0 for the lowest one): 0.000 eV per formula unit
* electronic total energy: -6.30 eV per atom

Lattice parameters (Å, degrees): 4.437 4.437 5.294 90.00 90.00 90.00
Positions (direct):
Mn 0.000 0.000 0.000
Tc 0.500 0.500 0.500
P 0.000 0.500 0.500
P 0.500 0.000 0.500
S 0.500 0.500 0.000


(7)
Material: Y3In2Ru
Method: DFT, PBE
State: relaxed

* calculated formation energy: -0.45 eV/atom
* electronic total energy: -6.14 eV per atom

Lattice parameters (Å, degrees): 8.044 8.044 7.495 90.00 90.00 142.94
Positions (direct):
Y 0.000 0.000 0.235
Y 0.000 0.000 0.765
Y 0.325 0.675 0.224
Y 0.325 0.675 0.776
Y 0.675 0.325 0.224
Y 0.675 0.325 0.776
In 0.164 0.836 0.500
In 0.500 0.500 0.000
In 0.500 0.500 0.500
In 0.836 0.164 0.500
Ru 0.162 0.838 0.000
Ru 0.838 0.162 0.000


(8)
Material: Tc2HOsO
Method: DFT, PBE
State: relaxed

* electronic total energy: -6.62 eV per atom

Lattice parameters (Å, degrees): 4.750 4.750 3.101 90.00 90.00 90.00
Positions (direct):
Tc 0.000 0.500 0.000
Tc 0.500 0.000 0.000
H 0.000 0.000 0.500
Os 0.000 0.000 0.000
O 0.500 0.500 0.500


(9)
Material: CaMg2Tc
Method: DFT, PBE
State: relaxed

* polymorph energy (0 for the lowest one): 0.166 eV per formula unit
* calculated formation energy: 0.33 eV/atom
* electronic total energy: -3.56 eV per atom

Lattice parameters (Å, degrees): 5.284 5.284 5.689 96.42 96.42 31.89
Positions (direct):
Ca 0.000 0.000 0.000
Mg 0.236 0.236 0.713
Mg 0.764 0.764 0.287
Tc 0.500 0.500 0.500


(10)
Material: KFe2Ni
Method: DFT, PBE
State: relaxed

* polymorph energy (0 for the lowest one): 2.156 eV per formula unit
* calculated formation energy: 1.12 eV/atom
* electronic total energy: -4.83 eV per atom

Lattice parameters (Å, degrees): 2.681 4.788 4.969 90.00 90.00 90.00
Positions (direct):
K 0.000 0.000 0.000
Fe 0.000 0.500 0.500
Fe 0.500 0.000 0.500
Ni 0.500 0.500 0.000


(11)
Material: KNiW2
Method: DFT, PBE
State: relaxed

* polymorph energy (0 for the lowest one): 0.744 eV per formula unit
* calculated formation energy: 0.90 eV/atom
* electronic total energy: -7.29 eV per atom

Lattice parameters (Å, degrees): 6.283 6.283 6.283 156.09 133.48 52.97
Positions (direct):
K 0.000 0.000 0.000
Ni 0.500 0.500 0.000
W 0.296 0.796 0.500
W 0.704 0.204 0.500


(12)
Material: KInAu2
Method: DFT, PBE
State: relaxed

* calculated formation energy: -0.29 eV/atom
* electronic total energy: -2.89 eV per atom

Lattice parameters (Å, degrees): 8.088 7.373 7.202 90.00 90.00 90.00
Positions (direct):
K 0.008 0.250 0.155
K 0.492 0.750 0.655
K 0.508 0.250 0.345
K 0.992 0.750 0.845
In 0.152 0.750 0.341
In 0.348 0.250 0.841
In 0.652 0.750 0.159
In 0.848 0.250 0.659
Au 0.165 0.058 0.568
Au 0.165 0.442 0.568
Au 0.335 0.558 0.068
Au 0.335 0.942 0.068
Au 0.665 0.058 0.932
Au 0.665 0.442 0.932
Au 0.835 0.558 0.432
Au 0.835 0.942 0.432


(13)
Material: Ba6NaSr8
Method: DFT, PBE
State: relaxed

* calculated formation energy: 0.04 eV/atom
* electronic total energy: -1.71 eV per atom

Lattice parameters (Å, degrees): 10.693 10.693 10.693 60.20 60.20 60.20
Positions (direct):
Ba 0.042 0.770 0.564
Ba 0.230 0.436 0.958
Ba 0.436 0.958 0.230
Ba 0.564 0.042 0.770
Ba 0.770 0.564 0.042
Ba 0.958 0.230 0.436
Na 0.500 0.500 0.500
Sr 0.077 0.077 0.077
Sr 0.165 0.313 0.622
Sr 0.313 0.622 0.165
Sr 0.378 0.835 0.687
Sr 0.622 0.165 0.313
Sr 0.687 0.378 0.835
Sr 0.835 0.687 0.378
Sr 0.923 0.923 0.923


(14)
Material: CuRuSe
Method: DFT, PBE
State: relaxed

* formation energy without anion corrections: 70 kJ/mol of formula units
* polymorph energy (0 for the lowest one): 0.485 eV per formula unit
* electronic total energy: -5.38 eV per atom

Lattice parameters (Å, degrees): 3.025 3.025 5.955 90.00 90.00 120.00
Positions (direct):
Cu 0.000 0.000 0.000
Ru 0.667 0.333 0.337
Se 0.333 0.667 0.625


(15)
Material: CaBiSeBr2
Method: DFT, PBE
State: relaxed

* formation energy without anion corrections: -315 kJ/mol of formula units
* polymorph energy (0 for the lowest one): 0.000 eV per formula unit
* electronic total energy: -3.19 eV per atom

Lattice parameters (Å, degrees): 5.372 5.372 5.876 90.00 90.00 90.00
Positions (direct):
Ca 0.000 0.000 0.000
Bi 0.500 0.500 0.500
Se 0.000 0.000 0.500
Br 0.000 0.500 0.000
Br 0.500 0.000 0.000


(16)
Material: RbBa2PuO6
Method: DFT, PBE
State: relaxed

* formation energy without anion corrections: -2462 kJ/mol of formula units
* electronic total energy: -7.44 eV per atom

Lattice parameters (Å, degrees): 6.318 6.693 10.996 90.00 124.16 90.00
Positions (direct):
Rb 0.000 0.000 0.000
Rb 0.000 0.500 0.500
Ba 0.224 0.045 0.738
Ba 0.224 0.455 0.238
Ba 0.776 0.545 0.762
Ba 0.776 0.955 0.262
Pu 0.500 0.000 0.500
Pu 0.500 0.500 0.000
O 0.201 0.160 0.465
O 0.201 0.340 0.965
O 0.259 0.739 0.909
O 0.259 0.761 0.409
O 0.417 0.081 0.300
O 0.417 0.419 0.800
O 0.583 0.581 0.200
O 0.583 0.919 0.700
O 0.741 0.239 0.591
O 0.741 0.261 0.091
O 0.799 0.660 0.035
O 0.799 0.840 0.535


(17)
Material: CeNpPt2
Method: DFT, PBE
State: relaxed

* polymorph energy (0 for the lowest one): 0.131 eV per formula unit
* calculated formation energy: -0.69 eV/atom
* electronic total energy: -8.42 eV per atom

Lattice parameters (Å, degrees): 4.996 4.996 4.996 60.00 60.00 60.00
Positions (direct):
Ce 0.000 0.000 0.000
Np 0.500 0.500 0.500
Pt 0.250 0.250 0.250
Pt 0.750 0.750 0.750


(18)
Material: B5C3
Method: DFT, PBE
State: relaxed

* polymorph energy (0 for the lowest one): 1.405 eV per formula unit
* calculated formation energy: 0.45 eV/atom
* electronic total energy: -7.19 eV per atom

Lattice parameters (Å, degrees): 4.990 4.961 3.666 68.80 67.96 43.24
Positions (direct):
B 0.000 0.000 0.000
B 0.299 0.299 0.201
B 0.416 0.868 0.132
B 0.799 0.799 0.701
B 0.868 0.416 0.584
C 0.167 0.647 0.833
C 0.508 0.508 0.492
C 0.647 0.167 0.353


(19)
Material: FeHg
Method: DFT, PBE
State: relaxed

* calculated formation energy: 0.28 eV/atom
* electronic total energy: -4.10 eV per atom

Lattice parameters (Å, degrees): 7.017 7.017 7.017 92.58 92.58 155.48
Positions (direct):
Fe 0.027 0.640 0.667
Fe 0.360 0.027 0.387
Fe 0.640 0.973 0.613
Fe 0.973 0.360 0.333
Hg 0.334 0.637 0.971
Hg 0.363 0.334 0.697
Hg 0.637 0.666 0.303
Hg 0.666 0.363 0.029


(20)
Material: K4GaI5
Method: DFT, PBE
State: relaxed

* formation energy without anion corrections: -1205 kJ/mol of formula units
* electronic total energy: -2.77 eV per atom

Lattice parameters (Å, degrees): 8.677 8.677 8.677 99.66 99.66 131.64
Positions (direct):
K 0.098 0.701 0.798
K 0.299 0.098 0.397
K 0.701 0.902 0.603
K 0.902 0.299 0.202
Ga 0.483 0.483 0.000
I 0.038 0.038 0.000
I 0.210 0.404 0.614
I 0.404 0.790 0.195
I 0.596 0.210 0.805
I 0.790 0.596 0.386


(21)
Material: AlGaPCl
Method: DFT, PBE
State: relaxed

* formation energy without anion corrections: -170 kJ/mol of formula units
* polymorph energy (0 for the lowest one): 0.527 eV per formula unit
* electronic total energy: -3.95 eV per atom

Lattice parameters (Å, degrees): 5.715 5.715 7.359 121.83 121.83 37.84
Positions (direct):
Al 0.000 0.000 0.000
Ga 0.269 0.269 0.123
P 0.923 0.923 0.237
Cl 0.392 0.392 0.756


(22)
Material: Ga2SnPd5
Method: DFT, PBE
State: relaxed

* calculated formation energy: -0.57 eV/atom
* electronic total energy: -5.07 eV per atom

Lattice parameters (Å, degrees): 7.343 7.343 7.343 124.85 124.85 81.79
Positions (direct):
Ga 0.145 0.645 0.789
Ga 0.355 0.145 0.500
Ga 0.645 0.855 0.500
Ga 0.855 0.355 0.211
Sn 0.250 0.250 0.000
Sn 0.750 0.750 0.000
Pd 0.000 0.000 0.000
Pd 0.002 0.196 0.500
Pd 0.196 0.696 0.193
Pd 0.304 0.498 0.500
Pd 0.498 0.998 0.193
Pd 0.500 0.500 0.000
Pd 0.502 0.002 0.807
Pd 0.696 0.502 0.500
Pd 0.804 0.304 0.807
Pd 0.998 0.804 0.500


(23)
Material: Ag2PbSe
Method: DFT, PBE
State: relaxed

* formation energy without anion corrections: -1 kJ/mol of formula units
* electronic total energy: -3.23 eV per atom

Lattice parameters (Å, degrees): 3.928 3.929 6.409 90.00 105.34 90.00
Positions (direct):
Ag 0.000 0.000 0.000
Ag 0.440 0.500 0.862
Pb 0.675 0.500 0.340
Se 0.259 0.000 0.544


(24)
Material: Ca2PrRu
Method: DFT, PBE
State: relaxed

* polymorph energy (0 for the lowest one): 0.000 eV per formula unit
* calculated formation energy: -0.05 eV/atom
* electronic total energy: -4.57 eV per atom

Lattice parameters (Å, degrees): 6.608 6.608 9.680 90.00 90.00 144.91
Positions (direct):
Ca 0.150 0.850 0.569
Ca 0.150 0.850 0.931
Ca 0.850 0.150 0.069
Ca 0.850 0.150 0.431
Pr 0.418 0.582 0.750
Pr 0.582 0.418 0.250
Ru 0.231 0.769 0.250
Ru 0.769 0.231 0.750


(25)
Material: CdAs2Rh2
Method: DFT, PBE
State: relaxed

* polymorph energy (0 for the lowest one): 0.720 eV per formula unit
* calculated formation energy: -0.11 eV/atom
* electronic total energy: -5.09 eV per atom

Lattice parameters (Å, degrees): 6.426 6.426 6.426 143.80 143.80 52.12
Positions (direct):
Cd 0.000 0.000 0.000
As 0.250 0.750 0.500
As 0.750 0.250 0.500
Rh 0.380 0.380 0.000
Rh 0.620 0.620 0.000